Computed, not measured: a relaxed structure of RePtNO at the GGA-PBE level of DFT.

Unit cell a=5.549 b=3.386 c=6.503 alpha=90.00 beta=90.00 gamma=90.00
Positions (direct):
N 0.856 0.000 0.275
N 0.356 0.000 0.725
O 0.295 0.500 0.061
O 0.795 0.500 0.939
Pt 0.111 0.000 0.500
Pt 0.611 0.000 0.500
Re 0.991 0.500 0.182
Re 0.491 0.500 0.818

- excess energy over the best structure of this formula in the dataset (eV/atom) = 0.000
- theoretical density (g/cm3) = 11.2
- energy (hartree per atom) = -0.2943

Computed, not measured: a relaxed structure of LiIrO3 at the GGA-PBE level of DFT.

Unit cell a=4.921 b=4.921 c=7.097 alpha=90.00 beta=90.00 gamma=144.04
Positions (direct):
Ir 0.000 0.000 0.000
Ir 0.000 0.000 0.500
Li 0.260 0.740 0.250
Li 0.740 0.260 0.750
O 0.625 0.375 0.066
O 0.910 0.090 0.250
O 0.625 0.375 0.434
O 0.375 0.625 0.566
O 0.090 0.910 0.750
O 0.375 0.625 0.934

- theoretical density (g/cm3) = 8.1
- energy (hartree per atom) = -0.2276

Computed, not measured: a relaxed structure of CoNi2H6Pt at the GGA-PBE level of DFT.

Unit cell a=4.644 b=4.644 c=4.644 alpha=60.00 beta=60.00 gamma=60.00
Positions (direct):
Co 0.000 0.000 0.000
H 0.761 0.239 0.239
H 0.239 0.761 0.239
H 0.761 0.761 0.239
H 0.239 0.239 0.761
H 0.761 0.239 0.761
H 0.239 0.761 0.761
Ni 0.250 0.250 0.250
Ni 0.750 0.750 0.750
Pt 0.500 0.500 0.500

- theoretical density (g/cm3) = 8.9
- energy (hartree per atom) = -0.1538

Computed, not measured: a relaxed structure of ErTc at the GGA-PBE level of DFT.

Unit cell a=3.967 b=3.967 c=3.967 alpha=60.00 beta=60.00 gamma=60.00
Positions (direct):
Er 0.000 0.000 0.000
Tc 0.500 0.500 0.500

- theoretical density (g/cm3) = 10.0
- ΔH_f (0 K) (eV/atom) = 0.88
- energy (hartree per atom) = -0.2419

Computed, not measured: a relaxed structure of BaCd2BiAs at the GGA-PBE level of DFT.

Unit cell a=4.788 b=4.788 c=8.019 alpha=90.00 beta=90.00 gamma=120.00
Positions (direct):
As 0.000 0.000 0.741
Ba 0.333 0.667 0.977
Bi 0.667 0.333 0.259
Cd 0.000 0.000 0.385
Cd 0.667 0.333 0.638

- theoretical density (g/cm3) = 6.7
- energy (hartree per atom) = -0.1102

Computed, not measured: a relaxed structure of Tm6OsO12 at the GGA-PBE level of DFT.

Unit cell a=6.331 b=6.331 c=6.331 alpha=98.77 beta=98.77 gamma=98.77
Positions (direct):
O 0.699 0.924 0.037
O 0.963 0.301 0.076
O 0.431 0.588 0.178
O 0.076 0.963 0.301
O 0.822 0.569 0.412
O 0.588 0.178 0.431
O 0.412 0.822 0.569
O 0.178 0.431 0.588
O 0.924 0.037 0.699
O 0.569 0.412 0.822
O 0.037 0.699 0.924
O 0.301 0.076 0.963
Os 0.000 0.000 0.000
Tm 0.611 0.316 0.144
Tm 0.144 0.611 0.316
Tm 0.684 0.856 0.389
Tm 0.316 0.144 0.611
Tm 0.856 0.389 0.684
Tm 0.389 0.684 0.856

- theoretical density (g/cm3) = 9.5
- energy (hartree per atom) = -0.3032

Computed, not measured: a relaxed structure of RbNdCu3Te4 at the GGA-PBE level of DFT.

Unit cell a=6.968 b=6.968 c=6.968 alpha=90.00 beta=90.00 gamma=90.00
Positions (direct):
Cu 0.500 0.500 0.000
Cu 0.500 0.000 0.500
Cu 0.000 0.500 0.500
Nd 0.500 0.500 0.500
Rb 0.000 0.000 0.000
Te 0.263 0.263 0.263
Te 0.737 0.737 0.263
Te 0.737 0.263 0.737
Te 0.263 0.737 0.737

- theoretical density (g/cm3) = 4.6
- energy (hartree per atom) = -0.1284

Computed, not measured: a relaxed structure of SmGdZr2P2 at the GGA-PBE level of DFT.

Unit cell a=8.372 b=8.372 c=8.372 alpha=151.97 beta=151.97 gamma=40.06
Positions (direct):
Gd 0.677 0.677 0.000
P 0.128 0.128 0.000
P 0.872 0.872 0.000
Sm 0.322 0.322 0.000
Zr 0.500 0.000 0.500
Zr 0.000 0.500 0.500

- theoretical density (g/cm3) = 7.1
- energy (hartree per atom) = -0.2667

Computed, not measured: a relaxed structure of Lu2ScCu4Si4 at the GGA-PBE level of DFT.

Unit cell a=7.695 b=7.695 c=7.695 alpha=149.47 beta=130.79 gamma=59.03
Positions (direct):
Cu 0.977 0.670 0.307
Cu 0.637 0.330 0.307
Cu 0.023 0.330 0.693
Cu 0.363 0.670 0.693
Lu 0.628 0.128 0.500
Lu 0.372 0.872 0.500
Sc 0.000 0.000 0.000
Si 0.214 0.214 0.000
Si 0.786 0.786 0.000
Si 0.690 0.500 0.190
Si 0.310 0.500 0.810

- theoretical density (g/cm3) = 7.3
- energy (hartree per atom) = -0.1961

Computed, not measured: a relaxed structure of Cd2TcSn at the GGA-PBE level of DFT.

Unit cell a=4.785 b=4.785 c=4.785 alpha=60.00 beta=60.00 gamma=60.00
Positions (direct):
Cd 0.000 0.000 0.000
Cd 0.750 0.750 0.750
Sn 0.500 0.500 0.500
Tc 0.250 0.250 0.250

- theoretical density (g/cm3) = 9.5
- energy (hartree per atom) = -0.1316

Computed, not measured: a relaxed structure of NbMo at the GGA-PBE level of DFT.

Unit cell a=3.768 b=3.768 c=3.768 alpha=60.00 beta=60.00 gamma=60.00
Positions (direct):
Mo 0.000 0.000 0.000
Nb 0.500 0.500 0.500

- theoretical density (g/cm3) = 8.3
- ΔH_f (0 K) (eV/atom) = 0.99
- energy (hartree per atom) = -0.3483

Computed, not measured: a relaxed structure of LuHPb at the GGA-PBE level of DFT.

Unit cell a=3.589 b=3.589 c=5.096 alpha=90.00 beta=90.00 gamma=120.00
Positions (direct):
H 0.333 0.667 0.834
Lu 0.667 0.333 0.833
Pb 0.000 0.000 0.333

- theoretical density (g/cm3) = 11.2
- energy (hartree per atom) = -0.1604

Computed, not measured: a relaxed structure of TbYNi2B2N2 at the GGA-PBE level of DFT.

Unit cell a=3.501 b=3.501 c=7.520 alpha=90.00 beta=90.00 gamma=90.00
Positions (direct):
B 0.000 0.000 0.340
B 0.500 0.500 0.660
N 0.000 0.000 0.146
N 0.500 0.500 0.855
Ni 0.500 0.000 0.500
Ni 0.000 0.500 0.500
Tb 0.000 0.000 0.832
Y 0.500 0.500 0.167

- theoretical density (g/cm3) = 7.5
- energy (hartree per atom) = -0.2800

Computed, not measured: a relaxed structure of DyMgSc at the GGA-PBE level of DFT.

Unit cell a=5.039 b=5.039 c=5.039 alpha=60.00 beta=60.00 gamma=60.00
Positions (direct):
Dy 0.250 0.250 0.250
Mg 0.000 0.000 0.000
Sc 0.750 0.750 0.750

- excess energy over the best structure of this formula in the dataset (eV/atom) = 0.000
- theoretical density (g/cm3) = 4.3
- energy (hartree per atom) = -0.1350

Computed, not measured: a relaxed structure of CdPdPt at the GGA-PBE level of DFT.

Unit cell a=4.845 b=2.935 c=7.125 alpha=90.00 beta=97.53 gamma=90.00
Positions (direct):
Cd 0.296 0.000 0.530
Cd 0.879 0.000 0.864
Pd 0.089 0.500 0.195
Pd 0.380 0.500 0.871
Pt 0.589 0.000 0.196
Pt 0.794 0.500 0.520

- excess energy over the best structure of this formula in the dataset (eV/atom) = 0.000
- theoretical density (g/cm3) = 13.7
- ΔH_f (0 K) (eV/atom) = -0.28
- energy (hartree per atom) = -0.1589

Computed, not measured: a relaxed structure of NaLuSiNi at the GGA-PBE level of DFT.

Unit cell a=4.695 b=4.695 c=4.695 alpha=60.00 beta=60.00 gamma=60.00
Positions (direct):
Lu 0.250 0.250 0.250
Na 0.750 0.750 0.750
Ni 0.500 0.500 0.500
Si 0.000 0.000 0.000

- excess energy over the best structure of this formula in the dataset (eV/atom) = 0.138
- theoretical density (g/cm3) = 6.5
- energy (hartree per atom) = -0.1555

Computed, not measured: a relaxed structure of ErAlIn at the GGA-PBE level of DFT.

Unit cell a=4.918 b=4.918 c=4.918 alpha=60.00 beta=60.00 gamma=60.00
Positions (direct):
Al 0.250 0.250 0.250
Er 0.000 0.000 0.000
In 0.750 0.750 0.750

- theoretical density (g/cm3) = 6.1
- energy (hartree per atom) = -0.1307

Computed, not measured: a relaxed structure of Sb2Pd5 at the GGA-PBE level of DFT.

Unit cell a=7.695 b=7.695 c=6.683 alpha=115.53 beta=115.53 gamma=43.85
Positions (direct):
Pd 0.912 0.912 0.075
Pd 0.523 0.020 0.248
Pd 0.020 0.523 0.248
Pd 0.609 0.609 0.297
Pd 0.751 0.249 0.500
Pd 0.249 0.751 0.500
Pd 0.391 0.391 0.703
Pd 0.980 0.477 0.752
Pd 0.477 0.980 0.752
Pd 0.088 0.088 0.925
Sb 0.390 0.390 0.106
Sb 0.129 0.129 0.361
Sb 0.871 0.871 0.639
Sb 0.610 0.610 0.894

- excess energy over the best structure of this formula in the dataset (eV/atom) = 0.013
- theoretical density (g/cm3) = 10.6
- energy (hartree per atom) = -0.1954

Computed, not measured: a relaxed structure of KNa2Hg2 at the GGA-PBE level of DFT.

Unit cell a=4.833 b=4.833 c=7.713 alpha=108.26 beta=108.26 gamma=90.00
Positions (direct):
Hg 0.606 0.606 0.213
Hg 0.394 0.394 0.787
K 0.000 0.000 0.000
Na 0.750 0.250 0.500
Na 0.250 0.750 0.500

- theoretical density (g/cm3) = 5.0
- energy (hartree per atom) = -0.0387

Computed, not measured: a relaxed structure of AgTe2Os at the GGA-PBE level of DFT.

Unit cell a=4.907 b=4.907 c=4.907 alpha=60.00 beta=60.00 gamma=60.00
Positions (direct):
Ag 0.000 0.000 0.000
Os 0.250 0.250 0.250
Te 0.500 0.500 0.500
Te 0.750 0.750 0.750

- theoretical density (g/cm3) = 11.0
- energy (hartree per atom) = -0.1463